Computed, not measured: LiZrCr2Rh after structural relaxation at the PBE level of DFT.

Computed properties:
Symmetry: P4/mmm (123)
Raw total energy, eV per atom: -6.62
Energy of formation, eV per atom: 0.79
Fermi-level density of states, states/eV/cell: 7.17

Lattice parameters (Å, degrees): 4.8950 4.8950 4.9028 90.00 90.00 90.00
Positions (direct):
Li 0.0000 0.0000 0.0000
Zr 0.5000 0.5000 0.0000
Cr 0.0000 0.5000 0.5000
Cr 0.5000 0.0000 0.5000
Rh 0.5000 0.5000 0.5000

=====

Computed, not measured: Pm2PuNpAs4 after structural relaxation at the PBE level of DFT.

Computed properties:
Symmetry: P2/m (10)
Raw total energy, eV per atom: -8.11
Energy of formation, eV per atom: -1.19
Fermi-level density of states, states/eV/cell: 21.59

Lattice parameters (Å, degrees): 7.2323 4.1770 7.2409 90.00 109.45 90.00
Positions (direct):
Pm 0.0000 0.0000 0.0000
Pm 0.0000 0.5000 0.5000
Pu 0.5000 0.0000 0.5000
Np 0.5000 0.5000 0.0000
As 0.2608 0.0000 0.7553
As 0.2608 0.5000 0.2516
As 0.7392 0.0000 0.2447
As 0.7392 0.5000 0.7484

=====

So what do the calculations give for calculated volume? Going down the list: 23.50 25.78 A^3/atom.